[1]
First-principles (PBE) data for Th3Sn2 after structural relaxation, as listed in Alexandria via LeMat-Bulk.

Calculated values
**Space group**: P-3m1
**Total moment**: 0.0 μB per cell

a = 5.4186 Å, b = 5.4186 Å, c = 6.5399 Å
α = 90.00°, β = 90.00°, γ = 120.00°
Fractional coordinates of all 5 atoms:
Th 0.0000 0.0000 0.0000
Th 0.3333 0.6667 0.6940
Th 0.6667 0.3333 0.3060
Sn 0.3333 0.6667 0.2001
Sn 0.6667 0.3333 0.7999


[2]
First-principles (PBE) data for PmZnSnGe after structural relaxation, as listed in Alexandria via LeMat-Bulk.

Calculated values
**Space group**: F-43m
**Total moment**: 0.0 μB per cell

a = 5.0914 Å, b = 5.0914 Å, c = 5.0914 Å
α = 60.00°, β = 60.00°, γ = 60.00°
Fractional coordinates of all 4 atoms:
Pm 0.0000 0.0000 0.0000
Zn 0.7500 0.7500 0.7500
Sn 0.5000 0.5000 0.5000
Ge 0.2500 0.2500 0.2500


no.,density of states at the Fermi level (states/eV/atom),energy of formation (kcal/mol of atoms)
1,1.3973,-5.29
2,0.5100,-5.05